{
  "formula": "NaCdAg2",
  "functional": "PBE-GGA",
  "state": "relaxed",
  "lattice_angstrom": [[3.038, -0.070, -0.626], [0.185, 5.548, 1.419], [0.734, 2.787, 10.730]],
  "species": ["Na", "Na", "Cd", "Cd", "Ag", "Ag", "Ag", "Ag"],
  "fractional_positions": [[0.355, 0.123, 0.123], [0.181, 0.679, 0.849], [0.969, 0.636, 0.374], [0.569, 0.165, 0.598], [0.710, 0.159, 0.861], [0.565, 0.667, 0.600], [0.972, 0.135, 0.372], [0.826, 0.642, 0.111]],
  "mass_density_g_cm3": 6.81,
  "crystal_system": "triclinic",
  "formation_energy_kj_per_mol_atoms": 2
}